The following is a DFT calculation (PBE) of a geometry-optimized GaSb3Au structure.

POSCAR file:
```
GaSb3Au
1.0
-0.5499 4.2510 3.3769
-4.8946 1.0803 -2.1571
-2.3489 -3.2463 3.7042
Au Ga Sb
1 1 3
direct
0.0000 0.0000 0.0000
0.5000 0.5000 0.5000
0.0000 0.5000 0.0000
0.5000 0.0000 0.0000
0.0000 0.0000 0.5000
```

Output
The calculation puts the total magnetization at 0.00 μB per formula unit. The value obtained for the excess energy over the best structure of this formula in the dataset is 0 meV per atom. The uncorrected formation energy comes out at 2.88 eV/f.u.

***

The following is a DFT calculation (PBE) of a geometry-optimized PrHo2TcO8 structure.

POSCAR file:
```
PrHo2TcO8
1.0
5.0745 0.0044 -0.0032
0.0409 5.0696 -0.0056
0.0043 0.0076 6.8595
O Ho Tc Pr
8 2 1 1
direct
0.3184 0.3165 0.5000
0.6816 0.6835 0.5000
0.2658 0.2647 0.0000
0.1848 0.8140 0.7992
0.8152 0.1860 0.2008
0.1848 0.8140 0.2008
0.7342 0.7353 0.0000
0.8152 0.1860 0.7992
0.5000 0.5000 0.7492
0.5000 0.5000 0.2508
0.0000 0.0000 0.0000
0.0000 0.0000 0.5000
```

Output
The calculation puts the total magnetization at 0.00 μB per formula unit. The uncorrected formation energy comes out at -31.17 eV/f.u.

***

The following is a DFT calculation (PBE) of a geometry-optimized TaTi2Ru3 structure.

POSCAR file:
```
TaTi2Ru3
1.0
3.1055 0.0000 0.0000
0.0000 3.1055 0.0000
0.0000 0.0000 9.3799
Ti Ta Ru
2 1 3
direct
0.5000 0.5000 0.1624
0.5000 0.5000 0.8376
0.5000 0.5000 0.5000
0.0000 0.0000 0.6730
0.0000 0.0000 0.3270
0.0000 0.0000 0.0000
```

Output
As for the formation enthalpy at 0 K: -0.625 eV per atom. The calculation puts the total magnetization at 0.00 μB per formula unit.

***

The following is a DFT calculation (PBE) of a geometry-optimized LiPm2PtO6 structure.

POSCAR file:
```
LiPm2PtO6
1.0
5.4263 0.0000 0.0144
0.0000 5.8636 0.0000
0.0688 0.0000 7.7094
Li O Pm Pt
2 12 4 2
direct
0.5000 0.0000 0.0000
0.0000 0.5000 0.5000
0.8046 0.8135 0.5524
0.3230 0.7060 0.4459
0.1954 0.1865 0.4476
0.8946 0.5329 0.2483
0.1054 0.4671 0.7517
0.3046 0.6865 0.0524
0.8230 0.7940 0.9459
0.3946 0.9671 0.7483
0.6054 0.0329 0.2517
0.1770 0.2060 0.0541
0.6954 0.3135 0.9476
0.6770 0.2940 0.5541
0.5206 0.5781 0.7512
0.4794 0.4219 0.2488
0.9794 0.0781 0.7488
0.0206 0.9219 0.2512
0.5000 0.0000 0.5000
0.0000 0.5000 0.0000
```

Output
The calculation puts the total magnetization at 0.00 μB per formula unit. The uncorrected formation energy comes out at -22.20 eV/f.u.

***

The following is a DFT calculation (PBE) of a geometry-optimized VCdCl3 structure.

POSCAR file:
```
VCdCl3
1.0
5.1694 0.0000 0.0000
0.0000 5.1694 0.0000
0.0000 0.0000 5.1694
Cl Cd V
3 1 1
direct
0.0000 0.0000 0.5000
0.5000 0.0000 0.0000
0.0000 0.5000 0.0000
0.0000 0.0000 0.0000
0.5000 0.5000 0.5000
```

Output
The calculation puts the total magnetization at 3.94 μB per formula unit. The value obtained for the excess energy over the best structure of this formula in the dataset is 584 meV per atom. The uncorrected formation energy comes out at -0.70 eV/f.u.

***

The following is a DFT calculation (PBE) of a geometry-optimized LaAl2ZnAg structure.

POSCAR file:
```
LaAl2ZnAg
1.0
4.4626 0.0000 0.0000
0.0000 4.4626 0.0000
-2.2313 -2.2313 5.3046
La Ag Al Zn
1 1 2 1
direct
0.0000 0.0000 0.0000
0.7500 0.2500 0.5000
0.3789 0.3789 0.7577
0.6211 0.6211 0.2423
0.2500 0.7500 0.5000
```

Output
As for the formation enthalpy at 0 K: -0.381 eV per atom. The calculation puts the total magnetization at 0.00 μB per formula unit.